Entry 1:
Ho3OsO7: optimized geometry, PBE-GGA.

Summary:
As for the total energy: -0.302 Ha/atom. As for the formation energy (no corrections): -2786 meV/atom.

Structure (CIF):
```
data_Ho3OsO7
_space_group_name_H-M_alt 'C 2 2 21'
_space_group_IT_number 20
_cell_length_a 7.494
_cell_length_b 10.477
_cell_length_c 7.381
_cell_angle_alpha 90.00
_cell_angle_beta 90.00
_cell_angle_gamma 90.00
loop_
_space_group_symop_operation_xyz
'x,y,z'
'-x,-y,z+1/2'
'x,-y,-z'
'-x,y,-z+1/2'
'x+1/2,y+1/2,z'
'-x+1/2,-y+1/2,z+1/2'
'x+1/2,-y+1/2,-z'
'-x+1/2,y+1/2,-z+1/2'
loop_
_atom_site_label
_atom_site_fract_x
_atom_site_fract_y
_atom_site_fract_z
_atom_site_occupancy
Ho1 0.024 0.000 0.000 1
Ho2 0.233 0.267 0.755 1
Os1 0.000 0.500 0.000 1
O1 0.000 0.131 0.250 1
O2 0.000 0.138 0.750 1
O3 0.000 0.427 0.750 1
O4 0.188 0.374 0.035 1
O5 0.203 0.377 0.474 1
```


Entry 2:
Ho12Os3O5: optimized geometry, PBE-GGA.

Summary:
As for the total energy: -0.265 Ha/atom. As for the formation energy (no corrections): -1540 meV/atom.

Structure (CIF):
```
data_Ho12Os3O5
_space_group_name_H-M_alt 'I a -3 d'
_space_group_IT_number 230
_space_group_name_Hall '-I 4bd 2c 3'
_cell_length_a 15.052
_cell_length_b 15.052
_cell_length_c 15.052
_cell_angle_alpha 90.00
_cell_angle_beta 90.00
_cell_angle_gamma 90.00
loop_
_atom_site_label
_atom_site_fract_x
_atom_site_fract_y
_atom_site_fract_z
_atom_site_occupancy
Ho1 0.031 0.056 0.652 1
Os1 0.000 0.250 0.125 1
O1 0.000 0.000 0.000 1
O2 0.000 0.250 0.375 1
```


Entry 3:
HoOsPb2O6: optimized geometry, PBE-GGA.

Summary:
As for the total energy: -0.256 Ha/atom. As for the formation energy (no corrections): -1677 meV/atom.

Structure (CIF):
```
data_HoOsPb2O6
_space_group_name_H-M_alt 'P 1 21/c 1'
_space_group_IT_number 14
_cell_length_a 5.878
_cell_length_b 5.875
_cell_length_c 10.130
_cell_angle_alpha 90.00
_cell_angle_beta 125.10
_cell_angle_gamma 90.00
loop_
_space_group_symop_operation_xyz
'x,y,z'
'-x,-y,-z'
'-x,y+1/2,-z+1/2'
'x,-y+1/2,z+1/2'
loop_
_atom_site_label
_atom_site_fract_x
_atom_site_fract_y
_atom_site_fract_z
_atom_site_occupancy
Ho1 0.000 0.000 0.000 1
Os1 0.500 0.000 0.500 1
Pb1 0.261 0.025 0.752 1
O1 0.194 0.013 0.266 1
O2 0.277 0.706 0.040 1
O3 0.338 0.233 0.039 1
```